First-principles (PBE) data for Be2Re2Ni after structural relaxation, as listed in the Alexandria database.

ΔE_f = 0.382 eV/atom
Space-group type = P4/mbm, No. 127

Lattice parameters (Å, degrees): 6.683 6.683 2.783 90.00 90.00 90.00
Sites, in units of the cell vectors:
Re 0.373 0.873 0.000
Re 0.873 0.627 0.000
Re 0.627 0.127 0.000
Re 0.127 0.373 0.000
Be 0.170 0.670 0.500
Be 0.670 0.830 0.500
Be 0.830 0.330 0.500
Be 0.330 0.170 0.500
Ni 0.000 0.000 0.000
Ni 0.500 0.500 0.000